# 1
Computed, not measured: an optimized crystal structure of Pm2CdSn2 at the PBE level of DFT.

Cell and atoms, written as POSCAR:
```
Pm2CdSn2
1.0
4.5932 0.0000 0.0000
2.2966 5.7221 0.0214
2.2966 1.9133 5.3928
Pm Cd Sn
2 1 2
Cartesian
6.8898 5.4093 3.8357
2.2966 2.2262 1.5786
0.0000 0.0000 0.0000
4.5932 4.6528 1.5294
4.5932 2.9827 3.8848
```

Output
calculated volume	28.31	Å³ per atom
energy above the most stable polymorph in this dataset	71	meV per atom
DFT total energy	-21.23	eV/cell
DFT formation energy	-54.1	kJ/mol of atoms
total moment	0.00	μB/f.u.

# 2
Computed, not measured: an optimized crystal structure of PmCdSn2 at the PBE level of DFT.

Cell and atoms, written as POSCAR:
```
PmCdSn2
1.0
-2.3546 -4.7115 -0.9048
2.6725 -4.5395 0.9008
-1.3674 -3.1361 4.1057
Cd Sn Pm
1 2 1
Cartesian
-0.5247 -6.1936 2.0508
-0.2624 -3.0968 1.0254
-0.7871 -9.2903 3.0763
0.0000 0.0000 0.0000
```

Output
calculated volume	26.98	Å³ per atom
energy above the most stable polymorph in this dataset	271	meV per atom
DFT total energy	-14.59	eV/cell
DFT formation energy	-22.2	kJ/mol of atoms
total moment	0.00	μB/f.u.

# 3
Computed, not measured: an optimized crystal structure of Pm8CdSn6 at the PBE level of DFT.

Cell and atoms, written as POSCAR:
```
Pm8CdSn6
1.0
-2.1526 9.0450 -1.4347
-5.7013 4.4857 5.9899
2.4580 6.2750 5.0282
Pm Cd Sn
8 1 6
Cartesian
-1.7313 8.2928 1.7242
-0.5745 12.2155 3.0370
-0.6386 7.0983 5.7027
-2.7928 15.2903 8.0548
-2.6032 4.5154 1.5286
-4.7573 12.7074 3.8807
-4.8215 7.5902 6.5464
-3.6646 11.5129 7.8593
0.0000 0.0000 0.0000
0.5815 9.2064 3.7101
-3.1337 11.1017 1.5080
-3.2783 6.5142 4.0237
-2.1177 13.2915 5.5597
-2.2623 8.7040 8.0754
-5.9774 10.5993 5.8733
```

Output
calculated volume	32.80	Å³ per atom
DFT total energy	-71.57	eV/cell
DFT formation energy	-55.5	kJ/mol of atoms
total moment	0.00	μB/f.u.

total moment of number 1 (Pm2CdSn2)? 0.00 μB/f.u.